(1)
# LiCa2TlCl6

Crystalline LiCa2TlCl6 at its relaxed geometry (PBE, Alexandria via LeMat-Bulk).

The structure in CIF format:
```
data_LiCa2TlCl6
_symmetry_space_group_name_H-M 'R 3'
_symmetry_Int_Tables_number 146
_symmetry_space_group_name_Hall 'R 3'
_cell_length_a 7.1551
_cell_length_b 7.1551
_cell_length_c 19.0448
_cell_angle_alpha 90.00
_cell_angle_beta 90.00
_cell_angle_gamma 120.00
loop_
_atom_site_label
_atom_site_type_symbol
_atom_site_fract_x
_atom_site_fract_y
_atom_site_fract_z
_atom_site_occupancy
Li1 Li 0.0000 0.0000 0.0000 1
Ca1 Ca 0.0000 0.0000 0.1898 1
Ca2 Ca 0.0000 0.0000 0.6758 1
Tl1 Tl 0.0000 0.0000 0.4647 1
Cl1 Cl 0.0152 0.3394 0.2613 1
Cl2 Cl 0.0942 0.7378 0.7540 1
```

Output
* ΔE_f (raw): -1.975 eV/atom
* N(E_F): 0.000 states/eV per atom


(2)
# Li2CaUCl8

Crystalline Li2CaUCl8 at its relaxed geometry (PBE, Alexandria via LeMat-Bulk).

The structure in CIF format:
```
data_Li2CaUCl8
_symmetry_space_group_name_H-M 'P -1'
_symmetry_Int_Tables_number 2
_symmetry_space_group_name_Hall '-P 1'
_cell_length_a 6.6235
_cell_length_b 6.8528
_cell_length_c 8.3567
_cell_angle_alpha 73.99
_cell_angle_beta 89.90
_cell_angle_gamma 77.90
loop_
_atom_site_label
_atom_site_type_symbol
_atom_site_fract_x
_atom_site_fract_y
_atom_site_fract_z
_atom_site_occupancy
Li1 Li 0.0476 0.1382 0.3283 1
Ca1 Ca 0.5000 0.5000 0.5000 1
U1 U 0.5000 0.5000 0.0000 1
Cl1 Cl 0.1334 0.7734 0.4498 1
Cl2 Cl 0.1426 0.7565 0.9387 1
Cl3 Cl 0.3641 0.2853 0.2882 1
Cl4 Cl 0.3836 0.2887 0.8118 1
```

Output
* ΔE_f (raw): -1.902 eV/atom
* N(E_F): 0.326 states/eV per atom


(3)
# Li2CaVCl6

Crystalline Li2CaVCl6 at its relaxed geometry (PBE, Alexandria via LeMat-Bulk).

The structure in CIF format:
```
data_Li2CaVCl6
_symmetry_space_group_name_H-M 'R 3'
_symmetry_Int_Tables_number 146
_symmetry_space_group_name_Hall 'R 3'
_cell_length_a 6.5055
_cell_length_b 6.5055
_cell_length_c 17.9096
_cell_angle_alpha 90.00
_cell_angle_beta 90.00
_cell_angle_gamma 120.00
loop_
_atom_site_label
_atom_site_type_symbol
_atom_site_fract_x
_atom_site_fract_y
_atom_site_fract_z
_atom_site_occupancy
Li1 Li 0.0000 0.0000 0.0000 1
Li2 Li 0.0000 0.0000 0.4925 1
Ca1 Ca 0.0000 0.0000 0.1939 1
V1 V 0.0000 0.0000 0.6872 1
Cl1 Cl 0.0118 0.3349 0.7610 1
Cl2 Cl 0.0191 0.7094 0.6009 1
```

Output
* ΔE_f (raw): -1.749 eV/atom


(4)
# LiCaYCl6

Crystalline LiCaYCl6 at its relaxed geometry (PBE, Alexandria via LeMat-Bulk).

The structure in CIF format:
```
data_LiCaYCl6
_symmetry_space_group_name_H-M 'P -3 1 c'
_symmetry_Int_Tables_number 163
_symmetry_space_group_name_Hall '-P 3 2c'
_cell_length_a 6.6611
_cell_length_b 6.6611
_cell_length_c 12.2329
_cell_angle_alpha 90.00
_cell_angle_beta 90.00
_cell_angle_gamma 120.00
loop_
_atom_site_label
_atom_site_type_symbol
_atom_site_fract_x
_atom_site_fract_y
_atom_site_fract_z
_atom_site_occupancy
Li1 Li 0.3333 0.6667 0.2500 1
Ca1 Ca 0.0000 0.0000 0.0000 1
Y1 Y 0.3333 0.6667 0.7500 1
Cl1 Cl 0.0053 0.3472 0.1295 1
```

Output
* ΔE_f (raw): -2.204 eV/atom
* N(E_F): 0.000 states/eV per atom